# 1
Computed, not measured: a PBEsol-optimized structure of InSe2O at the meta-GGA SCAN level of DFT.

Crystal system: cubic

Cell: 4.567 4.567 4.567 Å, 60.00 60.00 60.00°
Last column: magnetic moment on the atom in μB.
Positions (direct):
O: 0.000 0.000 0.000  0.82
Se: 0.250 0.250 0.250  0.10
Se: 0.750 0.750 0.750  0.10
In: 0.500 0.500 0.500  -0.02



# 2
Computed, not measured: a PBEsol-optimized structure of InSeO2 at the meta-GGA SCAN level of DFT.

Crystal system: trigonal
E above lowest polymorph in eV/f.u.: 0.00

Cell: 3.289 3.289 6.612 Å, 75.60 75.60 60.00°
Positions (direct):
O: 0.891 0.891 0.328
O: 0.109 0.109 0.672
Se: 0.000 0.000 0.000
In: 0.500 0.500 0.500



# 3
Computed, not measured: a PBEsol-optimized structure of InSeO2 at the meta-GGA SCAN level of DFT.

Crystal system: cubic
E above lowest polymorph in eV/f.u.: 4.95

Cell: 4.156 4.156 4.156 Å, 60.00 60.00 60.00°
Positions (direct):
O: 0.250 0.250 0.250
O: 0.750 0.750 0.750
Se: 0.000 0.000 0.000
In: 0.500 0.500 0.500



# 4
Computed, not measured: a PBEsol-optimized structure of InSe3O at the meta-GGA SCAN level of DFT.

Crystal system: cubic

Cell: 5.218 5.218 5.218 Å, 90.00 90.00 90.00°
Last column: magnetic moment on the atom in μB.
Positions (direct):
O: 0.500 0.500 0.500  1.50
Se: 0.000 0.500 0.000  0.70
Se: 0.000 0.000 0.500  0.70
Se: 0.500 0.000 0.000  0.70
In: 0.000 0.000 0.000  -0.05



# 5
Computed, not measured: a PBEsol-optimized structure of VInSe2O8 at the meta-GGA SCAN level of DFT.

Crystal system: monoclinic

Cell: 4.707 6.831 10.502 Å, 90.00 98.56 90.00°
Positions (direct):
V: 0.125 0.249 0.460
V: 0.125 0.751 0.460
In: 0.210 0.250 0.947
In: 0.210 0.750 0.947
Se: 0.644 0.500 0.751
Se: 0.767 0.000 0.143
Se: 0.496 0.000 0.699
Se: 0.311 0.500 0.232
O: 0.827 0.298 0.816
O: 0.827 0.702 0.816
O: 0.994 0.000 0.022
O: 0.564 0.201 0.095
O: 0.564 0.799 0.095
O: 0.136 0.500 0.071
O: 0.380 0.500 0.856
O: 0.358 0.000 0.846
O: 0.299 0.201 0.637
O: 0.299 0.799 0.637
O: 0.252 0.500 0.486
O: 0.789 0.249 0.471
O: 0.789 0.751 0.471
O: 0.124 0.301 0.279
O: 0.124 0.699 0.279
O: 0.217 0.000 0.428



# 6
Computed, not measured: a PBEsol-optimized structure of ZnIn2Se4O12 at the meta-GGA SCAN level of DFT.

Crystal system: monoclinic

Cell: 4.836 8.561 14.477 Å, 101.25 90.00 90.00°
Positions (direct):
Zn: 0.000 0.000 0.000
Zn: 0.500 0.500 0.500
In: 0.530 0.060 0.215
In: 0.970 0.560 0.715
In: 0.470 0.940 0.785
In: 0.030 0.440 0.285
Se: 0.566 0.331 0.105
Se: 0.934 0.831 0.605
Se: 0.434 0.669 0.895
Se: 0.066 0.169 0.395
Se: 0.999 0.782 0.130
Se: 0.501 0.282 0.630
Se: 0.001 0.218 0.870
Se: 0.499 0.718 0.370
O: 0.762 0.852 0.217
O: 0.738 0.352 0.717
O: 0.238 0.148 0.783
O: 0.262 0.648 0.283
O: 0.819 0.456 0.158
O: 0.681 0.956 0.658
O: 0.181 0.544 0.842
O: 0.319 0.044 0.342
O: 0.202 0.951 0.125
O: 0.298 0.451 0.625
O: 0.798 0.049 0.875
O: 0.702 0.549 0.375
O: 0.708 0.142 0.094
O: 0.792 0.642 0.594
O: 0.292 0.858 0.906
O: 0.208 0.358 0.406
O: 0.361 0.298 0.200
O: 0.139 0.798 0.700
O: 0.639 0.702 0.800
O: 0.861 0.202 0.300
O: 0.831 0.798 0.029
O: 0.669 0.298 0.529
O: 0.169 0.202 0.971
O: 0.331 0.702 0.471



# 7
Computed, not measured: a PBEsol-optimized structure of InSiO3 at the meta-GGA SCAN level of DFT.

Crystal system: cubic

Cell: 3.625 3.625 3.625 Å, 90.00 90.00 90.00°
Positions (direct):
Si: 0.000 0.000 0.000
O: 0.000 0.500 0.000
O: 0.000 0.000 0.500
O: 0.500 0.000 0.000
In: 0.500 0.500 0.500



# 8
Computed, not measured: a PBEsol-optimized structure of SmInO3 at the meta-GGA SCAN level of DFT.

Crystal system: orthorhombic

Cell: 5.553 5.888 8.113 Å, 90.00 90.00 90.00°
Positions (direct):
Sm: 0.978 0.066 0.250
Sm: 0.478 0.434 0.750
Sm: 0.522 0.566 0.250
Sm: 0.022 0.934 0.750
In: 0.500 0.000 0.000
In: 0.500 0.000 0.500
In: 0.000 0.500 0.000
In: 0.000 0.500 0.500
O: 0.634 0.059 0.750
O: 0.189 0.193 0.569
O: 0.189 0.193 0.931
O: 0.689 0.307 0.431
O: 0.689 0.307 0.069
O: 0.134 0.441 0.250
O: 0.866 0.559 0.750
O: 0.311 0.693 0.931
O: 0.311 0.693 0.569
O: 0.811 0.807 0.069
O: 0.811 0.807 0.431
O: 0.366 0.941 0.250



# 9
Computed, not measured: a PBEsol-optimized structure of In15SnO24 at the meta-GGA SCAN level of DFT.

Crystal system: trigonal

Cell: 8.817 8.817 8.817 Å, 109.40 109.40 109.40°
Positions (direct):
In: 0.750 0.218 0.966
In: 0.466 0.749 0.715
In: 0.034 0.250 0.782
In: 0.782 0.034 0.250
In: 0.285 0.534 0.251
In: 0.500 0.000 0.500
In: 0.251 0.285 0.534
In: 0.500 0.500 0.000
In: 0.749 0.715 0.466
In: 0.000 0.500 0.500
In: 0.715 0.466 0.749
In: 0.218 0.966 0.750
In: 0.534 0.251 0.285
In: 0.966 0.750 0.218
In: 0.250 0.782 0.034
Sn: 0.000 0.000 0.000
O: 0.039 0.264 0.046
O: 0.227 0.493 0.456
O: 0.774 0.236 0.730
O: 0.264 0.046 0.039
O: 0.992 0.261 0.533
O: 0.493 0.456 0.227
O: 0.270 0.226 0.764
O: 0.467 0.008 0.739
O: 0.544 0.773 0.507
O: 0.046 0.039 0.264
O: 0.764 0.270 0.226
O: 0.261 0.533 0.992
O: 0.739 0.467 0.008
O: 0.456 0.227 0.493
O: 0.236 0.730 0.774
O: 0.954 0.961 0.736
O: 0.730 0.774 0.236
O: 0.533 0.992 0.261
O: 0.008 0.739 0.467
O: 0.507 0.544 0.773
O: 0.226 0.764 0.270
O: 0.736 0.954 0.961
O: 0.773 0.507 0.544
O: 0.961 0.736 0.954



# 10
Computed, not measured: a PBEsol-optimized structure of InSnO2 at the meta-GGA SCAN level of DFT.

Crystal system: trigonal

Cell: 3.279 3.279 7.043 Å, 76.54 76.54 60.00°
Positions (direct):
Sn: 0.000 0.000 0.000
O: 0.888 0.888 0.337
O: 0.112 0.112 0.663
In: 0.500 0.500 0.500



# 11
Computed, not measured: a PBEsol-optimized structure of In4Sn3O12 at the meta-GGA SCAN level of DFT.

Crystal system: triclinic

Cell: 6.194 6.287 12.520 Å, 99.46 99.59 99.40°
Positions (direct):
In: 0.394 0.865 0.094
In: 0.315 0.607 0.816
In: 0.298 0.605 0.315
In: 0.862 0.686 0.448
In: 0.685 0.393 0.184
In: 0.138 0.314 0.552
In: 0.606 0.135 0.906
In: 0.702 0.395 0.685
Sn: 0.994 0.994 0.248
Sn: 0.397 0.859 0.592
Sn: 0.006 0.006 0.752
Sn: 0.859 0.678 0.948
Sn: 0.141 0.322 0.052
Sn: 0.603 0.141 0.408
O: 0.321 0.945 0.793
O: 0.045 0.893 0.089
O: 0.318 0.954 0.299
O: 0.588 0.820 0.960
O: 0.067 0.902 0.596
O: 0.911 0.699 0.789
O: 0.584 0.836 0.462
O: 0.171 0.575 0.957
O: 0.405 0.576 0.158
O: 0.918 0.681 0.279
O: 0.188 0.591 0.463
O: 0.595 0.424 0.842
O: 0.425 0.585 0.659
O: 0.829 0.425 0.043
O: 0.089 0.301 0.211
O: 0.575 0.415 0.341
O: 0.812 0.409 0.537
O: 0.412 0.180 0.040
O: 0.082 0.319 0.721
O: 0.955 0.107 0.911
O: 0.416 0.164 0.538
O: 0.679 0.055 0.207
O: 0.933 0.098 0.404
O: 0.682 0.046 0.701



# 12
Computed, not measured: a PBEsol-optimized structure of In4Sn3O12 at the meta-GGA SCAN level of DFT.

Crystal system: triclinic

Cell: 6.223 6.288 12.449 Å, 99.74 99.33 99.40°
Positions (direct):
In: 0.393 0.864 0.848
In: 0.309 0.604 0.066
In: 0.856 0.687 0.197
In: 0.313 0.608 0.569
In: 0.693 0.393 0.433
In: 0.141 0.313 0.803
In: 0.605 0.133 0.153
In: 0.606 0.135 0.658
Sn: 0.394 0.864 0.345
Sn: 0.004 0.000 0.500
Sn: 0.000 0.002 0.999
Sn: 0.859 0.680 0.699
Sn: 0.136 0.321 0.301
Sn: 0.690 0.396 0.933
O: 0.313 0.939 0.038
O: 0.064 0.891 0.344
O: 0.323 0.945 0.540
O: 0.570 0.825 0.213
O: 0.043 0.909 0.837
O: 0.900 0.686 0.026
O: 0.587 0.818 0.710
O: 0.178 0.575 0.211
O: 0.413 0.582 0.406
O: 0.909 0.691 0.535
O: 0.168 0.586 0.710
O: 0.583 0.419 0.086
O: 0.430 0.576 0.910
O: 0.823 0.411 0.290
O: 0.095 0.311 0.464
O: 0.592 0.423 0.592
O: 0.821 0.432 0.796
O: 0.405 0.174 0.294
O: 0.077 0.318 0.971
O: 0.955 0.089 0.163
O: 0.432 0.180 0.799
O: 0.685 0.046 0.446
O: 0.946 0.106 0.655
O: 0.688 0.069 0.961



What are the magnetization values for these records? In order: 0.295; 0.000; 0.001; 1.010; 0.000; 0.000; 0.000; 0.000; 0.000; 0.000; 0.000; 0.000 μB per atom.
What are the ΔE_f (raw) values for these records? In order: 0.46; -1.04; 0.19; 0.96; -1.54; -1.22; -1.86; -2.79; -1.79; -1.37; -1.77; -1.77 eV/atom.